SrAc2Cd | PBE-GGA | relaxed

Results
energy of formation: 0.418 eV per formula unit
ΔE to the lowest computed polymorph: 0.201 eV/atom
magnetic moment: 0.002 μB per formula unit

a b c (Å): 3.9467 3.9467 39.0961
angles (deg): 90.00 90.00 120.00
Space group R-3m (No. 166, hexagonal axes)
Asymmetric unit:
Sr  0.0000  0.0000  0.0000 (multiplicity 3)
Ac  0.0000  0.0000  0.1002 (multiplicity 6)
Cd  0.0000  0.0000  0.5000 (multiplicity 3)

---

Co2HgMo | PBE-GGA | relaxed

Results
energy of formation: 2.968 eV per formula unit
magnetic moment: 0.000 μB per formula unit

a b c (Å): 6.7545 6.7545 5.5548
angles (deg): 90.00 90.00 90.00
Space group I-42d (No. 122)
Asymmetric unit:
Co  0.2063  0.7500  0.1250 (multiplicity 8)
Hg  0.0000  0.0000  0.5000 (multiplicity 4)
Mo  0.0000  0.0000  0.0000 (multiplicity 4)

---

Pr9Tm4Hg11 | PBE-GGA | relaxed

Results
energy of formation: -9.214 eV per formula unit
magnetic moment: 3.411 μB per formula unit

a b c (Å): 15.9446 23.5250 3.5746
angles (deg): 90.00 90.00 90.00
Space group Cmmm (No. 65)
Asymmetric unit:
Pr  0.0000  0.0000  0.0000 (multiplicity 2)
Pr  0.1121  0.2459  0.0000 (multiplicity 8)
Pr  0.1290  0.4201  0.0000 (multiplicity 8)
Tm  0.1491  0.0972  0.0000 (multiplicity 8)
Hg  0.0000  0.1376  0.5000 (multiplicity 4)
Hg  0.0000  0.3386  0.5000 (multiplicity 4)
Hg  0.0000  0.5000  0.5000 (multiplicity 2)
Hg  0.2164  0.0000  0.5000 (multiplicity 4)
Hg  0.2409  0.3236  0.5000 (multiplicity 8)